{
  "formula": "YP",
  "functional": "PBE-GGA",
  "state": "optimized geometry",
  "formation_enthalpy_0k_mev_per_atom": -198,
  "vol_a3_per_atom": 20.311,
  "dft_energy_ev_per_cell": -24.5,
  "lattice": [[0.000, 3.438, 3.438], [3.438, 0.000, 3.438], [3.438, 3.438, 0.000]],
  "species": ["Y", "Y", "P", "P"],
  "frac_coords": [[0.750, 0.750, 0.750], [0.500, 0.500, 0.500], [0.250, 0.250, 0.250], [0.000, 0.000, 0.000]]
}



{
  "formula": "CeNbVC3",
  "functional": "PBE-GGA",
  "state": "optimized geometry",
  "formation_enthalpy_0k_mev_per_atom": -102,
  "vol_a3_per_atom": 14.621,
  "dft_energy_ev_per_cell": -106.8,
  "lattice": [[3.407, 0.000, 0.000], [0.000, 6.856, 0.344], [0.000, -2.291, 7.397]],
  "species": ["Ce", "Ce", "Nb", "Nb", "V", "V", "C", "C", "C", "C", "C", "C"],
  "frac_coords": [[0.750, 0.814, 0.806], [0.250, 0.186, 0.194], [0.250, 0.651, 0.133], [0.750, 0.349, 0.867], [0.250, 0.107, 0.610], [0.750, 0.893, 0.390], [0.250, 0.817, 0.469], [0.750, 0.887, 0.139], [0.750, 0.438, 0.152], [0.750, 0.183, 0.531], [0.250, 0.562, 0.848], [0.250, 0.113, 0.861]]
}



{
  "formula": "Hf6GaPb2",
  "functional": "PBE-GGA",
  "state": "optimized geometry",
  "formation_enthalpy_0k_mev_per_atom": -19,
  "vol_a3_per_atom": 22.754,
  "dft_energy_ev_per_cell": -140.7,
  "lattice": [[-2.170, 5.131, 1.397], [-3.556, 0.309, -6.663], [-7.592, -4.058, 3.864]],
  "species": ["Hf", "Hf", "Hf", "Hf", "Hf", "Hf", "Hf", "Hf", "Hf", "Hf", "Hf", "Hf", "Ga", "Ga", "Pb", "Pb", "Pb", "Pb"],
  "frac_coords": [[0.863, 0.960, 0.225], [0.866, 0.661, 0.531], [0.885, 0.717, 0.960], [0.615, 0.217, 0.540], [0.634, 0.161, 0.969], [0.637, 0.460, 0.275], [0.137, 0.040, 0.775], [0.134, 0.339, 0.469], [0.115, 0.283, 0.040], [0.385, 0.783, 0.460], [0.366, 0.839, 0.031], [0.363, 0.540, 0.725], [0.500, 0.500, 0.000], [0.000, 0.000, 0.500], [0.883, 0.400, 0.765], [0.617, 0.900, 0.735], [0.383, 0.100, 0.265], [0.117, 0.600, 0.235]]
}



{
  "formula": "Zr2ScTl3Se6",
  "functional": "PBE-GGA",
  "state": "optimized geometry",
  "raw_formation_energy_mev_per_atom": -1066,
  "vol_a3_per_atom": 26.812,
  "dft_energy_ev_per_cell": -64.2,
  "lattice": [[-5.810, 2.103, 2.342], [2.318, -5.932, 1.762], [5.116, 4.794, 5.293]],
  "species": ["Zr", "Zr", "Sc", "Tl", "Tl", "Tl", "Se", "Se", "Se", "Se", "Se", "Se"],
  "frac_coords": [[0.333, 0.667, 0.000], [0.667, 0.333, 0.000], [0.000, 0.000, 0.000], [0.168, 0.832, 0.500], [0.832, 0.168, 0.500], [0.500, 0.500, 0.500], [0.937, 0.604, 0.811], [0.730, 0.730, 0.189], [0.063, 0.396, 0.189], [0.604, 0.937, 0.811], [0.270, 0.270, 0.811], [0.396, 0.063, 0.189]]
}



{
  "formula": "Nb3VRh6",
  "functional": "PBE-GGA",
  "state": "optimized geometry",
  "formation_enthalpy_0k_mev_per_atom": -429,
  "vol_a3_per_atom": 15.222,
  "dft_energy_ev_per_cell": -175.5,
  "lattice": [[-0.914, 0.495, -4.375], [6.254, -3.809, -1.738], [-8.242, -5.512, 1.098]],
  "species": ["Nb", "Nb", "Nb", "Nb", "Nb", "Nb", "V", "V", "Rh", "Rh", "Rh", "Rh", "Rh", "Rh", "Rh", "Rh", "Rh", "Rh", "Rh", "Rh"],
  "frac_coords": [[0.250, 0.544, 0.370], [0.750, 0.456, 0.630], [0.250, 0.323, 0.762], [0.750, 0.677, 0.238], [0.250, 0.766, 0.968], [0.750, 0.234, 0.032], [0.250, 0.955, 0.556], [0.750, 0.045, 0.444], [0.250, 0.468, 0.076], [0.750, 0.532, 0.924], [0.250, 0.162, 0.169], [0.750, 0.838, 0.831], [0.250, 0.674, 0.670], [0.750, 0.326, 0.330], [0.250, 0.259, 0.473], [0.750, 0.741, 0.527], [0.250, 0.877, 0.275], [0.750, 0.123, 0.725], [0.250, 0.061, 0.866], [0.750, 0.939, 0.134]]
}



{
  "formula": "DyY2Tm2Mg5",
  "functional": "PBE-GGA",
  "state": "optimized geometry",
  "formation_enthalpy_0k_mev_per_atom": 76,
  "vol_a3_per_atom": 28.083,
  "dft_energy_ev_per_cell": -67.4,
  "lattice": [[-0.799, -4.778, -1.352], [3.882, -3.272, 9.268], [-9.684, 0.429, 4.208]],
  "species": ["Dy", "Dy", "Y", "Y", "Y", "Y", "Tm", "Tm", "Tm", "Tm", "Mg", "Mg", "Mg", "Mg", "Mg", "Mg", "Mg", "Mg", "Mg", "Mg"],
  "frac_coords": [[0.000, 0.000, 0.000], [0.000, 0.500, 0.500], [0.000, 0.679, 0.179], [0.000, 0.321, 0.821], [0.000, 0.179, 0.321], [0.000, 0.821, 0.679], [0.000, 0.118, 0.618], [0.000, 0.882, 0.382], [0.000, 0.618, 0.882], [0.000, 0.382, 0.118], [0.500, 0.198, 0.069], [0.500, 0.802, 0.931], [0.500, 0.069, 0.802], [0.500, 0.698, 0.431], [0.500, 0.931, 0.198], [0.500, 0.302, 0.569], [0.500, 0.569, 0.698], [0.500, 0.431, 0.302], [0.500, 0.500, 0.000], [0.500, 0.000, 0.500]]
}



{
  "formula": "ZrPb2AuCl",
  "functional": "PBE-GGA",
  "state": "optimized geometry",
  "raw_formation_energy_mev_per_atom": 414,
  "vol_a3_per_atom": 28.875,
  "dft_energy_ev_per_cell": -19.0,
  "lattice": [[-2.091, -2.394, 4.519], [3.104, -4.474, -0.934], [3.479, 1.871, 2.601]],
  "species": ["Pb", "Pb", "Au", "Zr", "Cl"],
  "frac_coords": [[0.000, 0.500, 0.000], [0.500, 0.000, 0.000], [0.500, 0.500, 0.500], [0.000, 0.000, 0.500], [0.000, 0.000, 0.000]]
}



{
  "formula": "K2In2I7",
  "functional": "PBE-GGA",
  "state": "optimized geometry",
  "raw_formation_energy_mev_per_atom": -813,
  "vol_a3_per_atom": 56.100,
  "dft_energy_ev_per_cell": -27.5,
  "lattice": [[7.376, -0.340, -0.389], [-0.893, 9.277, -0.271], [-0.893, -1.503, 9.159]],
  "species": ["K", "K", "In", "In", "I", "I", "I", "I", "I", "I", "I"],
  "frac_coords": [[0.000, 0.293, 0.707], [0.000, 0.707, 0.293], [0.413, 0.228, 0.228], [0.587, 0.772, 0.772], [0.795, 0.915, 0.587], [0.205, 0.413, 0.085], [0.205, 0.085, 0.413], [0.795, 0.587, 0.915], [0.500, 0.000, 0.000], [0.256, 0.599, 0.599], [0.744, 0.401, 0.401]]
}



{
  "formula": "YMnRh",
  "functional": "PBE-GGA",
  "state": "optimized geometry",
  "formation_enthalpy_0k_mev_per_atom": 490,
  "vol_a3_per_atom": 22.052,
  "dft_energy_ev_per_cell": -21.5,
  "lattice": [[4.540, 0.000, 0.000], [2.270, 3.931, 0.000], [2.270, 1.310, 3.707]],
  "species": ["Mn", "Rh", "Y"],
  "frac_coords": [[0.000, 0.000, 0.000], [0.500, 0.500, 0.500], [0.750, 0.750, 0.750]]
}



{
  "formula": "CsNiPtRh2",
  "functional": "PBE-GGA",
  "state": "optimized geometry",
  "formation_enthalpy_0k_mev_per_atom": 1025,
  "vol_a3_per_atom": 23.666,
  "dft_energy_ev_per_cell": -22.3,
  "lattice": [[-1.938, -3.263, -3.208], [3.410, -3.162, 1.156], [-2.904, -1.816, 3.601]],
  "species": ["Cs", "Ni", "Rh", "Rh", "Pt"],
  "frac_coords": [[0.500, 0.500, 0.500], [0.000, 0.500, 0.000], [0.000, 0.000, 0.500], [0.500, 0.000, 0.000], [0.000, 0.000, 0.000]]
}



{
  "formula": "TaTiNbMo",
  "functional": "PBE-GGA",
  "state": "optimized geometry",
  "formation_enthalpy_0k_mev_per_atom": -94,
  "vol_a3_per_atom": 17.185,
  "dft_energy_ev_per_cell": -41.0,
  "lattice": [[-2.660, 1.094, 1.469], [-2.619, -2.044, -3.220], [2.479, -3.348, 3.432]],
  "species": ["Ta", "Ti", "Nb", "Mo"],
  "frac_coords": [[0.961, 0.461, 0.923], [0.194, 0.194, 0.389], [0.721, 0.721, 0.441], [0.456, 0.956, 0.911]]
}



{
  "formula": "Dy4HgTe",
  "functional": "PBE-GGA",
  "state": "optimized geometry",
  "raw_formation_energy_mev_per_atom": -548,
  "vol_a3_per_atom": 28.228,
  "dft_energy_ev_per_cell": -50.3,
  "lattice": [[5.974, 1.335, 0.000], [-1.543, 8.404, 0.000], [0.000, 0.000, 6.482]],
  "species": ["Dy", "Dy", "Dy", "Dy", "Dy", "Dy", "Dy", "Dy", "Hg", "Hg", "Te", "Te"],
  "frac_coords": [[0.621, 0.654, 0.750], [0.379, 0.346, 0.250], [0.344, 0.050, 0.750], [0.656, 0.950, 0.250], [0.139, 0.693, 0.002], [0.861, 0.307, 0.502], [0.139, 0.693, 0.498], [0.861, 0.307, 0.998], [0.300, 0.394, 0.750], [0.700, 0.606, 0.250], [0.838, 0.974, 0.750], [0.162, 0.026, 0.250]]
}



{
  "formula": "RbBa2Ge",
  "functional": "PBE-GGA",
  "state": "optimized geometry",
  "formation_enthalpy_0k_mev_per_atom": -230,
  "vol_a3_per_atom": 52.014,
  "dft_energy_ev_per_cell": -10.4,
  "lattice": [[-0.380, -4.168, -0.443], [4.186, -0.402, 0.189], [-0.640, -1.180, 11.667]],
  "species": ["Ge", "Ba", "Ba", "Rb"],
  "frac_coords": [[0.500, 0.500, 0.000], [0.000, 0.000, 0.848], [0.000, 0.000, 0.152], [0.500, 0.500, 0.500]]
}



{
  "formula": "TiBr3",
  "functional": "PBE-GGA",
  "state": "optimized geometry",
  "raw_formation_energy_mev_per_atom": -1194,
  "vol_a3_per_atom": 31.274,
  "dft_energy_ev_per_cell": -35.4,
  "lattice": [[-2.039, 7.548, -0.494], [-6.971, 3.395, -1.119], [-4.370, 4.479, 4.714]],
  "species": ["Ti", "Ti", "Br", "Br", "Br", "Br", "Br", "Br"],
  "frac_coords": [[0.333, 0.333, 0.333], [0.667, 0.667, 0.667], [0.423, 0.723, 0.073], [0.277, 0.927, 0.577], [0.577, 0.277, 0.927], [0.073, 0.423, 0.723], [0.927, 0.577, 0.277], [0.723, 0.073, 0.423]]
}



{
  "formula": "Nd3HgPt4",
  "functional": "PBE-GGA",
  "state": "optimized geometry",
  "formation_enthalpy_0k_mev_per_atom": -862,
  "vol_a3_per_atom": 24.895,
  "dft_energy_ev_per_cell": -45.7,
  "lattice": [[3.972, 0.000, 0.000], [0.000, 6.711, 0.000], [-1.986, -3.356, 7.471]],
  "species": ["Nd", "Nd", "Nd", "Hg", "Pt", "Pt", "Pt", "Pt"],
  "frac_coords": [[0.189, 0.189, 0.377], [0.811, 0.811, 0.623], [0.000, 0.500, 0.000], [0.500, 0.000, 0.000], [0.372, 0.175, 0.745], [0.628, 0.825, 0.255], [0.628, 0.430, 0.255], [0.372, 0.570, 0.745]]
}



{
  "formula": "LiLaCd6",
  "functional": "PBE-GGA",
  "state": "optimized geometry",
  "formation_enthalpy_0k_mev_per_atom": -156,
  "vol_a3_per_atom": 24.473,
  "dft_energy_ev_per_cell": -13.6,
  "lattice": [[4.574, 0.000, 0.000], [0.000, 4.574, 0.000], [0.000, 0.000, 9.358]],
  "species": ["Li", "La", "Cd", "Cd", "Cd", "Cd", "Cd", "Cd"],
  "frac_coords": [[0.000, 0.000, 0.500], [0.000, 0.000, 0.000], [0.500, 0.000, 0.664], [0.000, 0.500, 0.664], [0.500, 0.500, 0.146], [0.500, 0.500, 0.854], [0.000, 0.500, 0.336], [0.500, 0.000, 0.336]]
}



{
  "formula": "RbBeGaAs2",
  "functional": "PBE-GGA",
  "state": "optimized geometry",
  "formation_enthalpy_0k_mev_per_atom": -338,
  "vol_a3_per_atom": 25.222,
  "dft_energy_ev_per_cell": -37.4,
  "lattice": [[4.003, 0.000, 0.000], [-2.002, 6.426, 0.132], [0.000, -1.419, 9.776]],
  "species": ["Rb", "Rb", "Be", "Be", "Ga", "Ga", "As", "As", "As", "As"],
  "frac_coords": [[0.349, 0.698, 0.342], [0.651, 0.302, 0.658], [0.676, 0.353, 0.070], [0.324, 0.647, 0.930], [0.047, 0.094, 0.171], [0.953, 0.906, 0.829], [0.377, 0.754, 0.707], [0.623, 0.246, 0.293], [0.138, 0.275, 0.947], [0.862, 0.725, 0.053]]
}



{
  "formula": "LaMn2Cd",
  "functional": "PBE-GGA",
  "state": "optimized geometry",
  "formation_enthalpy_0k_mev_per_atom": 336,
  "vol_a3_per_atom": 22.700,
  "dft_energy_ev_per_cell": -22.8,
  "lattice": [[5.045, 0.000, 0.000], [2.523, 4.369, 0.000], [2.523, 1.456, 4.119]],
  "species": ["Cd", "La", "Mn", "Mn"],
  "frac_coords": [[0.500, 0.500, 0.500], [0.750, 0.750, 0.750], [0.000, 0.000, 0.000], [0.250, 0.250, 0.250]]
}



{
  "formula": "Pr2Ag2Pd15",
  "functional": "PBE-GGA",
  "state": "optimized geometry",
  "formation_enthalpy_0k_mev_per_atom": -324,
  "vol_a3_per_atom": 17.750,
  "dft_energy_ev_per_cell": -99.3,
  "lattice": [[7.021, 0.024, 0.021], [0.935, 6.959, 0.021], [0.935, 0.820, 6.910]],
  "species": ["Pr", "Pr", "Ag", "Ag", "Pd", "Pd", "Pd", "Pd", "Pd", "Pd", "Pd", "Pd", "Pd", "Pd", "Pd", "Pd", "Pd", "Pd", "Pd"],
  "frac_coords": [[0.341, 0.341, 0.341], [0.659, 0.659, 0.659], [0.099, 0.099, 0.099], [0.901, 0.901, 0.901], [0.500, 0.000, 0.000], [0.000, 0.000, 0.500], [0.000, 0.500, 0.000], [0.000, 0.691, 0.309], [0.691, 0.309, 0.000], [0.309, 0.000, 0.691], [0.309, 0.691, 0.000], [0.691, 0.000, 0.309], [0.000, 0.309, 0.691], [0.160, 0.653, 0.653], [0.653, 0.653, 0.160], [0.653, 0.160, 0.653], [0.840, 0.347, 0.347], [0.347, 0.347, 0.840], [0.347, 0.840, 0.347]]
}



{
  "formula": "TmLu2Fe",
  "functional": "PBE-GGA",
  "state": "optimized geometry",
  "formation_enthalpy_0k_mev_per_atom": 32,
  "vol_a3_per_atom": 23.598,
  "dft_energy_ev_per_cell": -21.8,
  "lattice": [[3.291, 0.000, 0.000], [0.000, 3.291, 0.000], [0.000, 0.000, 8.717]],
  "species": ["Lu", "Lu", "Tm", "Fe"],
  "frac_coords": [[0.000, 0.000, 0.820], [0.000, 0.000, 0.180], [0.500, 0.500, 0.500], [0.500, 0.500, 0.000]]
}



{
  "formula": "SrCe3Nd2N6",
  "functional": "PBE-GGA",
  "state": "optimized geometry",
  "raw_formation_energy_mev_per_atom": -1354,
  "vol_a3_per_atom": 16.807,
  "dft_energy_ev_per_cell": -95.2,
  "lattice": [[-0.813, 0.591, -3.478], [6.233, -3.130, -1.988], [-4.664, -6.336, 1.898]],
  "species": ["Sr", "Ce", "Ce", "Ce", "Nd", "Nd", "N", "N", "N", "N", "N", "N"],
  "frac_coords": [[0.500, 0.000, 0.000], [0.500, 0.500, 0.000], [0.833, 0.167, 0.666], [0.167, 0.833, 0.334], [0.832, 0.665, 0.664], [0.168, 0.335, 0.336], [0.324, 0.923, 0.648], [0.665, 0.591, 0.330], [0.676, 0.077, 0.352], [0.995, 0.276, 0.989], [0.005, 0.724, 0.011], [0.335, 0.409, 0.670]]
}



{
  "formula": "LiMg2Ga12",
  "functional": "PBE-GGA",
  "state": "optimized geometry",
  "formation_enthalpy_0k_mev_per_atom": -35,
  "vol_a3_per_atom": 19.488,
  "dft_energy_ev_per_cell": -83.9,
  "lattice": [[-1.891, -1.668, 5.153], [-0.081, -5.449, -1.793], [16.770, -2.057, 5.489]],
  "species": ["Li", "Li", "Mg", "Mg", "Mg", "Mg", "Ga", "Ga", "Ga", "Ga", "Ga", "Ga", "Ga", "Ga", "Ga", "Ga", "Ga", "Ga", "Ga", "Ga", "Ga", "Ga", "Ga", "Ga", "Ga", "Ga", "Ga", "Ga", "Ga", "Ga"],
  "frac_coords": [[0.500, 0.000, 0.000], [0.000, 0.500, 0.000], [0.500, 0.000, 0.259], [0.000, 0.500, 0.259], [0.000, 0.500, 0.741], [0.500, 0.000, 0.741], [0.500, 0.500, 0.795], [0.000, 0.000, 0.795], [0.750, 0.750, 0.895], [0.250, 0.750, 0.895], [0.000, 0.000, 0.344], [0.250, 0.750, 0.105], [0.821, 0.321, 0.566], [0.500, 0.500, 0.344], [0.250, 0.250, 0.895], [0.750, 0.750, 0.105], [0.321, 0.179, 0.566], [0.679, 0.179, 0.434], [0.000, 0.000, 0.656], [0.179, 0.321, 0.434], [0.250, 0.250, 0.105], [0.821, 0.679, 0.434], [0.679, 0.821, 0.566], [0.000, 0.000, 0.205], [0.179, 0.679, 0.566], [0.500, 0.500, 0.656], [0.750, 0.250, 0.895], [0.500, 0.500, 0.205], [0.321, 0.821, 0.434], [0.750, 0.250, 0.105]]
}